No. 1
# YSc2Al3

YSc2Al3 after structural relaxation (GGA-PBE, the Alexandria database).

- space group = P4/mmm (123)
- total moment (μB/f.u.) = 0.00
- uncorrected energy (eV for the cell shown) = -32.95
- energy of formation (eV/f.u.) = -2.6

abc: 3.4542 3.4542 10.3486
angles: 90.00 90.00 90.00
Closest atoms and distances in Å follow each position.
Fractional positions:
Al 0.0000 0.0000 0.3132  4 Sc 2.92, 4 Y 3.11, 1 Al 3.24
Al 0.0000 0.0000 0.0000  8 Sc 2.94, 2 Al 3.24
Sc 0.5000 0.5000 0.1580  8 Al 2.92-2.94, 1 Sc 3.27
Y 0.5000 0.5000 0.5000  8 Al 3.11, 4 Y 3.45
Sc 0.5000 0.5000 0.8420  8 Al 2.92-2.94, 1 Sc 3.27
Al 0.0000 0.0000 0.6868  4 Sc 2.92, 4 Y 3.11, 1 Al 3.24

No. 2
# Y2Sc2Al3

Y2Sc2Al3 after structural relaxation (GGA-PBE, the Alexandria database).

- space group = Cmmm (65)
- total moment (μB/f.u.) = 0.42
- uncorrected energy (eV for the cell shown) = -38.78
- energy of formation (eV/f.u.) = -2.0

abc: 3.2711 3.2669 15.1437
angles: 90.00 83.80 90.00
Closest atoms and distances in Å follow each position.
Fractional positions:
Sc 0.7020 0.5000 0.5961  4 Al 2.95, 4 Sc 3.27
Al 0.1412 0.0000 0.7176  4 Sc 2.95, 4 Y 3.16, 4 Al 3.27
Sc 0.2980 0.5000 0.4039  4 Al 2.95, 4 Sc 3.27
Al 0.8588 0.0000 0.2824  4 Sc 2.95, 4 Y 3.16, 4 Al 3.27
Y 0.4306 0.5000 0.1389  8 Al 3.12-3.16, 4 Y 3.27
Y 0.5694 0.5000 0.8611  8 Al 3.12-3.16, 4 Y 3.27
Al 0.0000 0.0000 0.0000  8 Y 3.12, 4 Al 3.27

- Look up the energy of formation of the second one.
  -2.0 eV/f.u.

- The lowest energy of formation belongs to which entry?
  YSc2Al3

- What is the formula in the first record?
  YSc2Al3

- Look up the total moment of the first one.
  0.00 μB/f.u.